First-principles (PBE) data for crystalline LiLaAu4 at its relaxed geometry, as listed in Alexandria.

Cell lengths 4.747, 4.747, 6.644 Å; angles 90.00, 90.00, 120.00 degrees
Atoms (fractional coordinates):
Au: 0.667 0.333 0.779
Au: 0.333 0.667 0.779
Au: 0.333 0.667 0.221
Au: 0.667 0.333 0.221
Li: 0.000 0.000 0.000
La: 0.000 0.000 0.500

Properties
The formation energy is -0.5786 eV per atom. The calculation puts the polymorph energy (0 for the lowest one) at 0.000 eV/f.u. The symmetry is P6/mmm, No. 191.

=====

First-principles (PBE) data for crystalline TbYMgCd at its relaxed geometry, as listed in Alexandria.

Cell lengths 5.337, 5.337, 5.337 Å; angles 60.00, 60.00, 60.00 degrees
Atoms (fractional coordinates):
Mg: 0.250 0.250 0.250
Cd: 0.750 0.750 0.750
Y: 0.000 0.000 0.000
Tb: 0.500 0.500 0.500

Properties
The formation energy is -0.2179 eV per atom. The symmetry is F-43m, No. 216.